[1]
Here is a relaxed structure of KZrB from Alexandria via LeMat-Bulk. Energies are from PBE-GGA.

Lattice parameters (Å, degrees): 12.357 3.200 4.632 110.19 90.06 83.58
Each line ends with the local moment (μB).
Fractional positions:
K 0.979 0.465 0.538  0.01
K 0.637 0.982 0.084  0.00
B 0.417 0.539 0.007  0.01
B 0.397 0.112 0.137  0.00
Zr 0.379 0.843 0.582  0.02
Zr 0.225 0.630 0.023  0.14

Summary:
The value obtained for the magnetic moment is 0.42 μB per cell. As for the density of states at the Fermi level: 0.739 states/eV/atom. The space-group type is P1. For the calculated formation energy, the calculation gives 115.4 meV/atom.


[2]
Here is a relaxed structure of KZrB from Alexandria via LeMat-Bulk. Energies are from PBE-GGA.

Lattice parameters (Å, degrees): 4.864 4.864 5.249 90.00 90.00 120.00
Fractional positions:
K 0.000 0.000 0.706
K 0.000 0.000 0.206
B 0.333 0.667 0.014
B 0.667 0.333 0.514
Zr 0.333 0.667 0.531
Zr 0.667 0.333 0.031

Summary:
The value obtained for the magnetic moment is 0.00 μB per cell. As for the density of states at the Fermi level: 0.119 states/eV/atom. The space-group type is P6_3mc. For the calculated formation energy, the calculation gives 934.4 meV/atom.


[3]
Here is a relaxed structure of KZrB from Alexandria via LeMat-Bulk. Energies are from PBE-GGA.

Lattice parameters (Å, degrees): 3.942 3.942 6.132 90.00 90.00 120.00
Each line ends with the local moment (μB).
Fractional positions:
K 0.667 0.333 0.500  0.03
B 0.000 0.000 0.000  0.01
Zr 0.333 0.667 0.000  0.35

Summary:
The value obtained for the magnetic moment is 0.82 μB per cell. As for the density of states at the Fermi level: 0.857 states/eV/atom. The space-group type is P-6m2. For the calculated formation energy, the calculation gives 712.4 meV/atom.


[4]
Here is a relaxed structure of KZrB from Alexandria via LeMat-Bulk. Energies are from PBE-GGA.

Lattice parameters (Å, degrees): 4.501 4.501 4.501 60.00 60.00 60.00
Fractional positions:
K 0.250 0.250 0.250
B 0.000 0.000 0.000
Zr 0.750 0.750 0.750

Summary:
The value obtained for the magnetic moment is 0.00 μB per cell. As for the density of states at the Fermi level: 0.195 states/eV/atom. The space-group type is F-43m. For the calculated formation energy, the calculation gives 1298.4 meV/atom.